The following is a DFT calculation (PBE) of Nd3Zn4Pt4 after structural relaxation.

a b c (Å): 3.891 4.343 13.837
angles (deg): 81.09 81.94 89.97
Space group P-1 (No. 2)
One atom of each set of equivalent atoms:
Nd 0.000 0.000 0.000 (multiplicity 1)
Nd 0.146 0.651 0.709 (multiplicity 2)
Zn 0.254 0.251 0.493 (multiplicity 2)
Zn 0.402 0.898 0.194 (multiplicity 2)
Pt 0.308 0.804 0.382 (multiplicity 2)
Pt 0.451 0.444 0.101 (multiplicity 2)

* V: 228.68 Å³/cell
* formation energy: -0.814 eV per atom
* D(E_F): 6.64 states/eV/cell
* crystal system: triclinic
* VASP energy: -4.775 eV per atom
* E above lowest polymorph: 0.50 eV per formula unit

The following is a DFT calculation (PBE) of Nd3Zn2Pt4 after structural relaxation.

a b c (Å): 11.194 4.329 8.798
angles (deg): 90.00 114.30 90.00
Space group C2/m (No. 12)
One atom of each set of equivalent atoms:
Nd 0.000 0.000 0.000 (multiplicity 2)
Nd 0.141 0.500 0.692 (multiplicity 4)
Zn 0.162 0.500 0.330 (multiplicity 4)
Pt 0.081 0.000 0.412 (multiplicity 4)
Pt 0.210 0.500 0.068 (multiplicity 4)

* V: 388.56 Å³/cell
* formation energy: -0.941 eV per atom
* D(E_F): 9.81 states/eV/cell
* crystal system: monoclinic
* VASP energy: -5.498 eV per atom

The following is a DFT calculation (PBE) of Nd3Zn4Pt4 after structural relaxation.

a b c (Å): 4.129 7.475 14.427
angles (deg): 90.00 90.00 90.00
Space group Immm (No. 71)
One atom of each set of equivalent atoms:
Nd 0.000 0.000 0.000 (multiplicity 2)
Nd 0.000 0.500 0.127 (multiplicity 4)
Zn 0.000 0.305 0.327 (multiplicity 8)
Pt 0.000 0.000 0.218 (multiplicity 4)
Pt 0.000 0.197 0.500 (multiplicity 4)

* V: 445.28 Å³/cell
* formation energy: -0.860 eV per atom
* D(E_F): 12.41 states/eV/cell
* crystal system: orthorhombic
* VASP energy: -4.821 eV per atom
* E above lowest polymorph: 0.00 eV per formula unit

The following is a DFT calculation (PBE) of Nd2Zn2Pt15 after structural relaxation.

a b c (Å): 9.2928 9.2928 13.4872
angles (deg): 90.00 90.00 120.00
Space group R-3m (No. 166, hexagonal axes)
One atom of each set of equivalent atoms:
Nd 0.0000 0.0000 0.1546 (multiplicity 6)
Zn 0.0000 0.0000 0.4041 (multiplicity 6)
Pt 0.0000 0.3117 0.5000 (multiplicity 18)
Pt 0.0000 0.5000 0.0000 (multiplicity 9)
Pt 0.0001 0.5000 0.3426 (multiplicity 18)

* V: 1008.66 Å³/cell
* formation energy: -0.497 eV per atom
* D(E_F): 43.37 states/eV/cell
* crystal system: trigonal
* VASP energy: -5.902 eV per atom

The following is a DFT calculation (PBE) of NdZnPt after structural relaxation.

a b c (Å): 4.424 21.539 7.951
angles (deg): 90.00 90.00 90.00
Space group Imm2 (No. 44)
One atom of each set of equivalent atoms:
Nd 0.000 0.000 0.000 (multiplicity 2)
Nd 0.000 0.164 0.905 (multiplicity 4)
Nd 0.000 0.329 0.005 (multiplicity 4)
Nd 0.000 0.500 0.911 (multiplicity 2)
Zn 0.000 0.109 0.284 (multiplicity 4)
Zn 0.000 0.277 0.629 (multiplicity 4)
Zn 0.000 0.436 0.282 (multiplicity 4)
Pt 0.000 0.076 0.608 (multiplicity 4)
Pt 0.000 0.241 0.303 (multiplicity 4)
Pt 0.000 0.406 0.611 (multiplicity 4)

* V: 757.62 Å³/cell
* formation energy: -0.874 eV per atom
* D(E_F): 21.59 states/eV/cell
* crystal system: orthorhombic
* VASP energy: -4.901 eV per atom

The following is a DFT calculation (PBE) of Nd12Zn6Pt after structural relaxation.

a b c (Å): 13.1619 13.1619 12.1434
angles (deg): 90.00 90.00 120.00
Space group R-3 (No. 148, hexagonal axes)
One atom of each set of equivalent atoms:
Nd 0.0317 0.2013 0.3899 (multiplicity 18)
Nd 0.0543 0.2035 0.8780 (multiplicity 18)
Zn 0.0506 0.2780 0.6400 (multiplicity 18)
Pt 0.0000 0.0000 0.0000 (multiplicity 3)

* V: 1821.82 Å³/cell
* formation energy: -0.058 eV per atom
* D(E_F): 80.44 states/eV/cell
* crystal system: trigonal
* VASP energy: -3.789 eV per atom

The following is a DFT calculation (PBE) of Nd3Zn3Pt8 after structural relaxation.

a b c (Å): 4.330 9.705 12.948
angles (deg): 90.00 90.00 90.00
Space group Immm (No. 71)
One atom of each set of equivalent atoms:
Nd 0.000 0.000 0.000 (multiplicity 2)
Nd 0.000 0.000 0.301 (multiplicity 4)
Zn 0.000 0.226 0.500 (multiplicity 4)
Zn 0.000 0.500 0.000 (multiplicity 2)
Pt 0.000 0.291 0.113 (multiplicity 8)
Pt 0.000 0.362 0.325 (multiplicity 8)

* V: 544.15 Å³/cell
* formation energy: -0.771 eV per atom
* D(E_F): 12.96 states/eV/cell
* crystal system: orthorhombic
* VASP energy: -5.518 eV per atom

The following is a DFT calculation (PBE) of Nd2Zn3Pt after structural relaxation.

a b c (Å): 3.751 4.511 7.780
angles (deg): 90.00 90.00 90.00
Space group Pmm2 (No. 25)
One atom of each set of equivalent atoms:
Nd 0.000 0.000 0.000 (multiplicity 1)
Nd 0.000 0.500 0.462 (multiplicity 1)
Zn 0.500 0.000 0.653 (multiplicity 1)
Zn 0.500 0.500 0.138 (multiplicity 1)
Zn 0.500 0.500 0.809 (multiplicity 1)
Pt 0.500 0.000 0.314 (multiplicity 1)

* V: 131.61 Å³/cell
* formation energy: -0.607 eV per atom
* D(E_F): 3.99 states/eV/cell
* crystal system: orthorhombic
* VASP energy: -3.840 eV per atom
* E above lowest polymorph: 0.00 eV per formula unit

The following is a DFT calculation (PBE) of NdZn4Pt after structural relaxation.

a b c (Å): 4.799 13.856 6.853
angles (deg): 90.00 90.00 90.00
Space group Cmcm (No. 63)
One atom of each set of equivalent atoms:
Nd 0.000 0.112 0.250 (multiplicity 4)
Zn 0.000 0.100 0.750 (multiplicity 4)
Zn 0.000 0.276 0.575 (multiplicity 8)
Zn 0.000 0.500 0.000 (multiplicity 4)
Pt 0.000 0.361 0.250 (multiplicity 4)

* V: 455.66 Å³/cell
* formation energy: -0.340 eV per atom
* D(E_F): 9.67 states/eV/cell
* crystal system: orthorhombic
* VASP energy: -2.990 eV per atom
* E above lowest polymorph: 0.07 eV per formula unit

The following is a DFT calculation (PBE) of Nd4Zn3Pt after structural relaxation.

a b c (Å): 3.691 3.691 14.517
angles (deg): 90.00 90.00 90.00
Space group P4/mmm (No. 123)
One atom of each set of equivalent atoms:
Nd 0.000 0.000 0.118 (multiplicity 2)
Nd 0.000 0.000 0.374 (multiplicity 2)
Zn 0.500 0.500 0.251 (multiplicity 2)
Zn 0.500 0.500 0.500 (multiplicity 1)
Pt 0.500 0.500 0.000 (multiplicity 1)

* V: 197.72 Å³/cell
* formation energy: -0.501 eV per atom
* D(E_F): 7.16 states/eV/cell
* crystal system: tetragonal
* VASP energy: -4.118 eV per atom

The following is a DFT calculation (PBE) of Nd3Zn6Pt5 after structural relaxation.

a b c (Å): 4.325 12.880 9.537
angles (deg): 90.00 90.00 90.00
Space group Pmmn (No. 59, origin choice 2)
One atom of each set of equivalent atoms:
Nd 0.250 0.057 0.249 (multiplicity 4)
Nd 0.250 0.750 0.240 (multiplicity 2)
Zn 0.250 0.068 0.912 (multiplicity 4)
Zn 0.250 0.250 0.052 (multiplicity 2)
Zn 0.250 0.250 0.466 (multiplicity 2)
Zn 0.250 0.601 0.518 (multiplicity 4)
Pt 0.250 0.091 0.636 (multiplicity 4)
Pt 0.250 0.636 0.959 (multiplicity 4)
Pt 0.250 0.750 0.705 (multiplicity 2)

* V: 531.25 Å³/cell
* formation energy: -0.778 eV per atom
* D(E_F): 20.35 states/eV/cell
* crystal system: orthorhombic
* VASP energy: -4.503 eV per atom

The following is a DFT calculation (PBE) of NdZn2Pt8 after structural relaxation.

a b c (Å): 5.282 5.282 8.425
angles (deg): 90.00 90.00 90.00
Space group P4/mmm (No. 123)
One atom of each set of equivalent atoms:
Nd 0.000 0.000 0.000 (multiplicity 1)
Zn 0.000 0.500 0.500 (multiplicity 2)
Pt 0.253 0.253 0.276 (multiplicity 8)

* V: 235.10 Å³/cell
* formation energy: -0.126 eV per atom
* D(E_F): 6.12 states/eV/cell
* crystal system: tetragonal
* VASP energy: -5.184 eV per atom

The following is a DFT calculation (PBE) of Nd3Zn2Pt7 after structural relaxation.

a b c (Å): 5.5449 5.5449 25.6949
angles (deg): 90.00 90.00 120.00
Space group R-3m (No. 166, hexagonal axes)
One atom of each set of equivalent atoms:
Nd 0.0000 0.0000 0.0000 (multiplicity 3)
Nd 0.0000 0.0000 0.1394 (multiplicity 6)
Zn 0.0000 0.0000 0.3335 (multiplicity 6)
Pt 0.0000 0.0000 0.5000 (multiplicity 3)
Pt 0.0023 0.5011 0.9197 (multiplicity 18)

* V: 684.18 Å³/cell
* formation energy: -0.942 eV per atom
* D(E_F): 12.98 states/eV/cell
* crystal system: trigonal
* VASP energy: -5.870 eV per atom

The following is a DFT calculation (PBE) of Nd2ZnPt after structural relaxation.

a b c (Å): 4.2504 4.2504 28.1004
angles (deg): 90.00 90.00 120.00
Space group R-3m (No. 166, hexagonal axes)
One atom of each set of equivalent atoms:
Nd 0.0000 0.0000 0.1133 (multiplicity 6)
Zn 0.0000 0.0000 0.0000 (multiplicity 3)
Pt 0.0000 0.0000 0.5000 (multiplicity 3)

* V: 439.64 Å³/cell
* formation energy: -0.289 eV per atom
* D(E_F): 7.82 states/eV/cell
* crystal system: trigonal
* VASP energy: -4.502 eV per atom

The following is a DFT calculation (PBE) of NdZnPt2 after structural relaxation.

a b c (Å): 4.557 4.557 3.731
angles (deg): 90.00 90.00 90.00
Space group P4/mmm (No. 123)
One atom of each set of equivalent atoms:
Nd 0.000 0.000 0.000 (multiplicity 1)
Zn 0.500 0.500 0.000 (multiplicity 1)
Pt 0.000 0.500 0.500 (multiplicity 2)

* V: 77.50 Å³/cell
* formation energy: -0.657 eV per atom
* D(E_F): 2.74 states/eV/cell
* crystal system: tetragonal
* VASP energy: -5.187 eV per atom

The following is a DFT calculation (PBE) of NdZn4Pt4 after structural relaxation.

a b c (Å): 5.850 5.850 9.078
angles (deg): 90.00 90.00 90.00
Space group P4_2/nmc (No. 137, origin choice 2)
One atom of each set of equivalent atoms:
Nd 0.250 0.750 0.250 (multiplicity 2)
Zn 0.030 0.250 0.170 (multiplicity 8)
Pt 0.018 0.250 0.460 (multiplicity 8)

* V: 310.65 Å³/cell
* formation energy: -0.581 eV per atom
* D(E_F): 7.98 states/eV/cell
* crystal system: tetragonal
* VASP energy: -4.362 eV per atom

The following is a DFT calculation (PBE) of NdZnPt after structural relaxation.

a b c (Å): 4.4404 4.4404 3.8269
angles (deg): 90.00 90.00 120.00
Space group P-6m2 (No. 187)
One atom of each set of equivalent atoms:
Nd 0.0000 0.0000 0.0000 (multiplicity 1)
Zn 0.3333 0.6667 0.5000 (multiplicity 1)
Pt 0.6667 0.3333 0.5000 (multiplicity 1)

* V: 65.35 Å³/cell
* formation energy: -0.836 eV per atom
* D(E_F): 2.29 states/eV/cell
* crystal system: hexagonal
* VASP energy: -4.864 eV per atom

The following is a DFT calculation (PBE) of NdZnPt after structural relaxation.

a b c (Å): 3.560 3.560 9.886
angles (deg): 90.00 90.00 90.00
Space group I4mm (No. 107)
One atom of each set of equivalent atoms:
Nd 0.000 0.000 0.000 (multiplicity 2)
Zn 0.000 0.000 0.300 (multiplicity 2)
Pt 0.000 0.000 0.682 (multiplicity 2)

* V: 125.31 Å³/cell
* formation energy: -0.662 eV per atom
* D(E_F): 3.29 states/eV/cell
* crystal system: tetragonal
* VASP energy: -4.689 eV per atom

The following is a DFT calculation (PBE) of NdZnPt after structural relaxation.

a b c (Å): 6.646 6.646 6.646
angles (deg): 90.00 90.00 90.00
Space group F-43m (No. 216)
One atom of each set of equivalent atoms:
Nd 0.000 0.000 0.000 (multiplicity 4)
Zn 0.000 0.000 0.500 (multiplicity 4)
Pt 0.250 0.250 0.750 (multiplicity 4)

* V: 293.57 Å³/cell
* formation energy: -0.709 eV per atom
* D(E_F): 9.48 states/eV/cell
* crystal system: cubic
* VASP energy: -4.737 eV per atom

The following is a DFT calculation (PBE) of Nd5ZnPt2 after structural relaxation.

a b c (Å): 8.098 8.098 13.391
angles (deg): 90.00 90.00 90.00
Space group I4/mcm (No. 140)
One atom of each set of equivalent atoms:
Nd 0.000 0.000 0.000 (multiplicity 4)
Nd 0.162 0.338 0.141 (multiplicity 16)
Zn 0.000 0.000 0.250 (multiplicity 4)
Pt 0.132 0.368 0.500 (multiplicity 8)

* V: 878.24 Å³/cell
* formation energy: -0.649 eV per atom
* D(E_F): 32.54 states/eV/cell
* crystal system: tetragonal
* VASP energy: -5.298 eV per atom